The following is a PBEsol calculation of a geometry-optimized NaWSeN2 structure, from Alexandria via LeMat-Bulk.

Unit cell a=3.875 b=3.875 c=7.107 alpha=90.00 beta=90.00 gamma=90.00
Site moments in Bohr magnetons follow the coordinates.
Positions (direct):
1 W 0.000 0.000 0.000  0.71
2 Na 0.000 0.000 0.500  0.00
3 N 0.500 0.000 0.000  -0.12
4 N 0.000 0.500 0.000  -0.12
5 Se 0.500 0.500 0.500  0.64

Results
SG	P4/mmm, No. 123
total DFT energy (no corrections)	-33.01	eV for the cell shown
E above lowest polymorph	16.74	kcal/mol of atoms